Computed, not measured: an optimized crystal structure of CaCu2As at the PBE-GGA level of DFT.

## Properties
Its energy relative to the elements is -0.355 eV/atom. Its crystal system is tetragonal. The calculation puts the total DFT energy (no corrections) at -32.526 eV/cell.

Structure (CIF):
```
data_CaCu2As
_chemical_formula_sum 'Ca2 Cu4 As2'
_space_group_name_H-M_alt 'P 1'
_space_group_IT_number 1
_cell_length_a 3.944
_cell_length_b 3.944
_cell_length_c 9.458
_cell_angle_alpha 90.00
_cell_angle_beta 90.00
_cell_angle_gamma 90.00
loop_
_space_group_symop_operation_xyz
'x,y,z'
loop_
_atom_site_label
_atom_site_fract_x
_atom_site_fract_y
_atom_site_fract_z
Ca1 0.250 0.250 0.235
Ca2 0.750 0.750 0.765
Cu1 0.250 0.250 0.932
Cu2 0.250 0.750 0.500
Cu3 0.750 0.250 0.500
Cu4 0.750 0.750 0.068
As1 0.250 0.250 0.661
As2 0.750 0.750 0.339
```

Computed, not measured: an optimized crystal structure of Y2ScRe at the PBE-GGA level of DFT.

## Properties
Its energy relative to the elements is 0.226 eV/atom. Its crystal system is monoclinic. Its offset from the most stable computed form is 0.121 eV/atom. The calculation puts the total DFT energy (no corrections) at -30.806 eV/cell.

Structure (CIF):
```
data_Y2ScRe
_chemical_formula_sum 'Y2 Sc1 Re1'
_space_group_name_H-M_alt 'P 1'
_space_group_IT_number 1
_cell_length_a 3.313
_cell_length_b 4.595
_cell_length_c 6.428
_cell_angle_alpha 90.00
_cell_angle_beta 104.82
_cell_angle_gamma 90.00
loop_
_space_group_symop_operation_xyz
'x,y,z'
loop_
_atom_site_label
_atom_site_fract_x
_atom_site_fract_y
_atom_site_fract_z
Y1 0.000 0.000 0.000
Y2 0.391 0.500 0.680
Sc1 0.791 0.000 0.428
Re1 0.475 0.500 0.221
```

Computed, not measured: an optimized crystal structure of PmDy2Y6Th3 at the PBE-GGA level of DFT.

## Properties
Its energy relative to the elements is 0.023 eV/atom. Its crystal system is monoclinic. The calculation puts the total DFT energy (no corrections) at -74.721 eV/cell.

Structure (CIF):
```
data_PmDy2Y6Th3
_chemical_formula_sum 'Pm1 Dy2 Y6 Th3'
_space_group_name_H-M_alt 'P 1'
_space_group_IT_number 1
_cell_length_a 6.208
_cell_length_b 6.208
_cell_length_c 11.775
_cell_angle_alpha 95.05
_cell_angle_beta 95.05
_cell_angle_gamma 120.00
loop_
_space_group_symop_operation_xyz
'x,y,z'
loop_
_atom_site_label
_atom_site_fract_x
_atom_site_fract_y
_atom_site_fract_z
Pm1 0.000 0.000 0.000
Dy1 0.333 0.667 0.000
Dy2 0.667 0.333 0.000
Y1 0.085 0.418 0.254
Y2 0.249 0.249 0.746
Y3 0.418 0.085 0.254
Y4 0.582 0.915 0.746
Y5 0.751 0.751 0.254
Y6 0.915 0.582 0.746
Th1 0.166 0.834 0.500
Th2 0.500 0.500 0.500
Th3 0.834 0.166 0.500
```

Computed, not measured: an optimized crystal structure of Ba4ReOs at the PBE-GGA level of DFT.

## Properties
Its energy relative to the elements is 1.950 eV/atom. Its crystal system is cubic. The calculation puts the total DFT energy (no corrections) at -19.668 eV/cell.

Structure (CIF):
```
data_Ba4ReOs
_chemical_formula_sum 'Ba4 Re1 Os1'
_space_group_name_H-M_alt 'P 1'
_space_group_IT_number 1
_cell_length_a 6.615
_cell_length_b 6.615
_cell_length_c 6.615
_cell_angle_alpha 60.00
_cell_angle_beta 60.00
_cell_angle_gamma 60.00
loop_
_space_group_symop_operation_xyz
'x,y,z'
loop_
_atom_site_label
_atom_site_fract_x
_atom_site_fract_y
_atom_site_fract_z
Ba1 0.125 0.125 0.125
Ba2 0.125 0.125 0.626
Ba3 0.125 0.626 0.125
Ba4 0.626 0.125 0.125
Re1 0.500 0.500 0.500
Os1 0.750 0.750 0.750
```

Computed, not measured: an optimized crystal structure of Ce2ErC2Br2 at the PBE-GGA level of DFT.

## Properties
The value obtained for the uncorrected formation energy is -66.7 kJ/mol of atoms. Its crystal system is tetragonal. The calculation puts the total DFT energy (no corrections) at -43.066 eV/cell.

Structure (CIF):
```
data_Ce2ErC2Br2
_chemical_formula_sum 'Ce2 Er1 C2 Br2'
_space_group_name_H-M_alt 'P 1'
_space_group_IT_number 1
_cell_length_a 8.181
_cell_length_b 8.181
_cell_length_c 8.181
_cell_angle_alpha 147.55
_cell_angle_beta 147.55
_cell_angle_gamma 46.56
loop_
_space_group_symop_operation_xyz
'x,y,z'
loop_
_atom_site_label
_atom_site_fract_x
_atom_site_fract_y
_atom_site_fract_z
Ce1 0.092 0.092 0.000
Ce2 0.908 0.908 0.000
Er1 0.500 0.500 0.000
C1 0.000 0.500 0.500
C2 0.500 0.000 0.500
Br1 0.307 0.307 0.000
Br2 0.693 0.693 0.000
```

Computed, not measured: an optimized crystal structure of AgSb2Se at the PBE-GGA level of DFT.

## Properties
The value obtained for the uncorrected formation energy is 22.3 kJ/mol of atoms. Its crystal system is tetragonal. The calculation puts the total DFT energy (no corrections) at -27.316 eV/cell.

Structure (CIF):
```
data_AgSb2Se
_chemical_formula_sum 'Ag2 Sb4 Se2'
_space_group_name_H-M_alt 'P 1'
_space_group_IT_number 1
_cell_length_a 8.038
_cell_length_b 8.038
_cell_length_c 8.038
_cell_angle_alpha 134.28
_cell_angle_beta 134.28
_cell_angle_gamma 66.66
loop_
_space_group_symop_operation_xyz
'x,y,z'
loop_
_atom_site_label
_atom_site_fract_x
_atom_site_fract_y
_atom_site_fract_z
Ag1 0.000 0.000 0.000
Ag2 0.750 0.250 0.500
Sb1 0.107 0.625 0.982
Sb2 0.375 0.357 0.482
Sb3 0.643 0.125 0.018
Sb4 0.875 0.893 0.518
Se1 0.250 0.750 0.500
Se2 0.500 0.500 0.000
```

Computed, not measured: an optimized crystal structure of NaPtPb2 at the PBE-GGA level of DFT.

## Properties
Its energy relative to the elements is -0.172 eV/atom. Its crystal system is trigonal. The calculation puts the total DFT energy (no corrections) at -15.464 eV/cell.

Structure (CIF):
```
data_NaPtPb2
_chemical_formula_sum 'Na1 Pt1 Pb2'
_space_group_name_H-M_alt 'P 1'
_space_group_IT_number 1
_cell_length_a 6.603
_cell_length_b 6.603
_cell_length_c 6.603
_cell_angle_alpha 40.23
_cell_angle_beta 40.23
_cell_angle_gamma 40.23
loop_
_space_group_symop_operation_xyz
'x,y,z'
loop_
_atom_site_label
_atom_site_fract_x
_atom_site_fract_y
_atom_site_fract_z
Na1 0.000 0.000 0.000
Pt1 0.500 0.500 0.500
Pb1 0.228 0.228 0.228
Pb2 0.772 0.772 0.772
```

Computed, not measured: an optimized crystal structure of CeSm3Ho4S8 at the PBE-GGA level of DFT.

## Properties
The value obtained for the uncorrected formation energy is -193.7 kJ/mol of atoms. Its crystal system is trigonal. The calculation puts the total DFT energy (no corrections) at -103.542 eV/cell.

Structure (CIF):
```
data_CeSm3Ho4S8
_chemical_formula_sum 'Ce1 Sm3 Ho4 S8'
_space_group_name_H-M_alt 'P 1'
_space_group_IT_number 1
_cell_length_a 7.929
_cell_length_b 7.929
_cell_length_c 7.929
_cell_angle_alpha 59.45
_cell_angle_beta 59.45
_cell_angle_gamma 59.45
loop_
_space_group_symop_operation_xyz
'x,y,z'
loop_
_atom_site_label
_atom_site_fract_x
_atom_site_fract_y
_atom_site_fract_z
Ce1 0.000 0.000 0.000
Sm1 0.000 0.500 0.500
Sm2 0.500 0.000 0.500
Sm3 0.500 0.500 0.000
Ho1 0.000 0.000 0.500
Ho2 0.000 0.500 0.000
Ho3 0.500 0.000 0.000
Ho4 0.500 0.500 0.500
S1 0.246 0.246 0.246
S2 0.246 0.746 0.746
S3 0.254 0.254 0.754
S4 0.254 0.754 0.254
S5 0.746 0.246 0.746
S6 0.746 0.746 0.246
S7 0.754 0.254 0.254
S8 0.754 0.754 0.754
```